# PBE-GGA Li7MgZn3, relaxed
data_Li7MgZn3
_chemical_formula_sum 'Li28 Mg4 Zn12'
_cell_length_a 2.997
_cell_length_b 22.580
_cell_length_c 11.306
_cell_angle_alpha 90.00
_cell_angle_beta 90.00
_cell_angle_gamma 90.00
_space_group_name_H-M_alt 'C m c m'
_space_group_IT_number 63
_space_group_name_Hall '-C 2c 2'
loop_
_atom_site_label
_atom_site_fract_x
_atom_site_fract_y
_atom_site_fract_z
Li1 0.000 0.006 0.118
Li2 0.000 0.106 0.750
Li3 0.000 0.170 0.083
Li4 0.000 0.296 0.114
Mg1 0.000 0.402 0.750
Zn1 0.000 0.276 0.750
Zn2 0.000 0.415 0.025
# - ΔE_f: -0.075 eV/atom
# - ΔE to the lowest computed polymorph: 0.0 kJ/mol of formula units

***

# PBE-GGA Li3MgZn3, relaxed
data_Li3MgZn3
_chemical_formula_sum 'Li6 Mg2 Zn6'
_cell_length_a 6.837
_cell_length_b 6.837
_cell_length_c 6.837
_cell_angle_alpha 90.00
_cell_angle_beta 90.00
_cell_angle_gamma 90.00
_space_group_name_H-M_alt 'P m -3 n'
_space_group_IT_number 223
_space_group_name_Hall '-P 4n 2 3'
loop_
_atom_site_label
_atom_site_fract_x
_atom_site_fract_y
_atom_site_fract_z
Li1 0.000 0.250 0.500
Mg1 0.000 0.000 0.000
Zn1 0.000 0.500 0.250
# - ΔE_f: 0.388 eV/atom
# - ΔE to the lowest computed polymorph: 270.0 kJ/mol of formula units

***

In μB/f.u., the total moment values for the records above are, in order, 0.0, 0.0.